A relaxed structure of BaSbSe2. Source: Alexandria via LeMat-Bulk, functional PBE.

Cell and atoms, written as POSCAR:
```
BaSbSe2
1.0
3.974 0.001 0.000
-1.206 3.786 0.000
0.000 0.000 8.006
Ba Sb Se
1 1 2
Direct
0.500 0.500 0.250
0.500 0.500 0.750
0.000 0.000 0.985
0.000 0.000 0.515
```

Calculated volume ... 30.1 Å³ per atom
Energy relative to the elements, uncorrected ... -0.68 eV/atom
N(E_F) ... 2.6 states/eV per cell

=====

A relaxed structure of PmMgCl2. Source: Alexandria via LeMat-Bulk, functional PBE.

Cell and atoms, written as POSCAR:
```
PmMgCl2
1.0
-0.845 2.444 2.521
1.529 -0.173 3.267
6.974 6.056 -0.947
Mg Cl Pm
1 2 1
Direct
0.500 0.500 0.500
0.115 0.115 0.656
0.885 0.885 0.344
0.000 0.000 0.000
```

Calculated volume ... 25.5 Å³ per atom
Energy relative to the elements, uncorrected ... -1.07 eV/atom
N(E_F) ... 3.4 states/eV per cell

=====

A relaxed structure of K4Ho3ZrS8. Source: Alexandria via LeMat-Bulk, functional PBE.

Cell and atoms, written as POSCAR:
```
K4Ho3ZrS8
1.0
7.935 0.000 0.000
0.000 8.667 0.510
-3.967 -3.963 5.614
K Ho Zr S
4 3 1 8
Direct
0.500 0.000 0.000
0.500 0.000 0.500
0.000 0.000 0.000
0.000 0.000 0.500
0.500 0.500 0.000
0.500 0.500 0.500
0.000 0.500 0.500
0.000 0.500 0.000
0.228 0.700 0.972
0.228 0.700 0.456
0.266 0.297 0.531
0.744 0.700 0.972
0.256 0.300 0.028
0.734 0.703 0.469
0.772 0.300 0.544
0.772 0.300 0.028
```

Calculated volume ... 25.1 Å³ per atom
Energy relative to the elements, uncorrected ... -1.77 eV/atom
N(E_F) ... 4.7 states/eV per cell

=====

A relaxed structure of Pm3Nd2Ag2. Source: Alexandria via LeMat-Bulk, functional PBE.

Cell and atoms, written as POSCAR:
```
Pm3Nd2Ag2
1.0
3.633 0.000 0.483
0.000 3.661 0.001
-0.273 0.005 16.004
Pm Nd Ag
3 2 2
Direct
0.880 0.000 0.241
0.000 0.000 0.000
0.120 0.000 0.759
0.701 0.501 0.596
0.299 0.499 0.404
0.560 0.500 0.880
0.440 0.500 0.120
```

Calculated volume ... 30.5 Å³ per atom
Formation energy from the elements ... -82.9 meV per atom
N(E_F) ... 8.8 states/eV per cell
Energy relative to the lowest polymorph listed for this composition ... 0.036 eV per atom

=====

A relaxed structure of Zr2AsBr. Source: Alexandria via LeMat-Bulk, functional PBE.

Cell and atoms, written as POSCAR:
```
Zr2AsBr
1.0
-2.848 0.554 -4.022
1.842 -0.986 -4.498
-1.563 -3.987 -2.500
As Br Zr
1 1 2
Direct
0.500 0.500 0.500
0.750 0.750 0.750
0.000 0.000 0.000
0.250 0.250 0.250
```

Calculated volume ... 21.6 Å³ per atom
Energy relative to the elements, uncorrected ... 0.19 eV/atom
N(E_F) ... 4.2 states/eV per cell

=====

A relaxed structure of La3BiN. Source: Alexandria via LeMat-Bulk, functional PBE.

Cell and atoms, written as POSCAR:
```
La3BiN
1.0
-0.032 -7.266 1.436
-0.255 -3.140 -6.643
5.764 -0.063 -0.192
La Bi N
6 2 2
Direct
0.215 0.491 0.361
0.485 0.163 0.844
0.000 0.810 0.857
0.251 0.977 0.344
0.521 0.649 0.861
0.736 0.329 0.357
0.732 0.853 0.352
0.004 0.287 0.852
0.481 0.408 0.599
0.255 0.732 0.099
```

Calculated volume ... 30.5 Å³ per atom
Energy relative to the elements, uncorrected ... -0.92 eV/atom
N(E_F) ... 8.3 states/eV per cell

=====

A relaxed structure of KCd4GaAg2. Source: Alexandria via LeMat-Bulk, functional PBE.

Cell and atoms, written as POSCAR:
```
KCd4GaAg2
1.0
-3.780 2.730 -2.226
-4.756 -1.987 -0.356
-4.754 3.517 6.390
K Cd Ga Ag
1 4 1 2
Direct
0.000 0.000 0.000
0.386 0.386 0.843
0.862 0.862 0.414
0.138 0.138 0.586
0.614 0.614 0.157
0.500 0.500 0.500
0.743 0.743 0.772
0.257 0.257 0.228
```

Calculated volume ... 23.6 Å³ per atom
Formation energy from the elements ... 87.9 meV per atom
N(E_F) ... 2.6 states/eV per cell

=====

A relaxed structure of SeN2Cl. Source: Alexandria via LeMat-Bulk, functional PBE.

Cell and atoms, written as POSCAR:
```
SeN2Cl
1.0
1.875 0.000 6.024
-0.938 1.624 6.024
-0.938 -1.624 6.024
N Se Cl
2 1 1
Direct
0.892 0.892 0.892
0.108 0.108 0.108
0.500 0.500 0.500
0.000 0.000 0.000
```

Calculated volume ... 13.8 Å³ per atom
Energy relative to the elements, uncorrected ... 1.38 eV/atom
N(E_F) ... 1.8 states/eV per cell
Energy relative to the lowest polymorph listed for this composition ... 0.000 eV per atom

=====

A relaxed structure of HfCoI. Source: Alexandria via LeMat-Bulk, functional PBE.

Cell and atoms, written as POSCAR:
```
HfCoI
1.0
-0.218 2.296 3.023
-2.663 -0.591 2.648
6.420 -6.444 7.748
Hf I Co
2 2 2
Direct
0.547 0.547 0.359
0.453 0.453 0.641
0.274 0.274 0.179
0.726 0.726 0.821
0.834 0.834 0.499
0.166 0.166 0.501
```

Calculated volume ... 24.5 Å³ per atom
Energy relative to the elements, uncorrected ... -0.54 eV/atom
N(E_F) ... 2.6 states/eV per cell

=====

A relaxed structure of Tb3Zn2Co4. Source: Alexandria via LeMat-Bulk, functional PBE.

Cell and atoms, written as POSCAR:
```
Tb3Zn2Co4
1.0
-0.259 -3.676 -1.609
3.588 1.497 1.027
-2.304 -9.280 21.566
Tb Zn Co
6 4 8
Direct
0.333 0.667 0.262
0.333 0.667 0.587
0.333 0.667 0.913
0.333 0.667 0.071
0.333 0.667 0.420
0.333 0.667 0.746
0.000 0.000 0.165
0.000 0.000 0.504
0.000 0.000 0.830
0.667 0.333 0.169
0.667 0.333 0.503
0.667 0.333 0.830
0.667 0.333 0.993
0.667 0.333 0.340
0.667 0.333 0.667
0.000 0.000 0.339
0.000 0.000 0.667
0.000 0.000 0.994
```

Calculated volume ... 18.4 Å³ per atom
Formation energy from the elements ... -169.7 meV per atom
N(E_F) ... 15.3 states/eV per cell

=====

A relaxed structure of NaHfTl. Source: Alexandria via LeMat-Bulk, functional PBE.

Cell and atoms, written as POSCAR:
```
NaHfTl
1.0
5.460 0.000 0.000
0.000 1.633 -8.068
0.000 1.633 8.068
Na Tl Hf
2 2 2
Direct
0.500 0.022 0.978
0.500 0.688 0.312
0.000 0.574 0.426
0.500 0.352 0.648
0.000 0.898 0.102
0.000 0.244 0.756
```

Calculated volume ... 24.0 Å³ per atom
Formation energy from the elements ... 163.2 meV per atom
N(E_F) ... 3.6 states/eV per cell
Energy relative to the lowest polymorph listed for this composition ... 0.174 eV per atom

=====

A relaxed structure of Si3Tc2Ru. Source: Alexandria via LeMat-Bulk, functional PBE.

Cell and atoms, written as POSCAR:
```
Si3Tc2Ru
1.0
2.955 0.000 0.000
0.000 4.184 0.000
0.000 0.000 12.574
Si Tc Ru
6 4 2
Direct
0.500 0.500 0.667
0.500 0.000 0.500
0.500 0.500 0.333
0.500 0.000 0.167
0.500 0.500 0.000
0.500 0.000 0.833
0.000 0.000 0.665
0.000 0.000 0.335
0.000 0.500 0.165
0.000 0.500 0.835
0.000 0.500 0.500
0.000 0.000 0.000
```

Calculated volume ... 13.0 Å³ per atom
Energy relative to the elements, uncorrected ... -0.51 eV/atom
N(E_F) ... 7.5 states/eV per cell

=====

A relaxed structure of LaPm7Tm2. Source: Alexandria via LeMat-Bulk, functional PBE.

Cell and atoms, written as POSCAR:
```
LaPm7Tm2
1.0
-0.826 -0.422 5.710
-2.838 -8.671 -1.051
8.841 2.034 1.430
La Pm Tm
1 7 2
Direct
0.000 0.000 0.000
0.000 0.769 0.231
0.000 0.231 0.769
0.500 0.061 0.298
0.500 0.939 0.702
0.500 0.298 0.061
0.500 0.702 0.939
0.500 0.500 0.500
0.500 0.703 0.297
0.500 0.297 0.703
```

Calculated volume ... 41.5 Å³ per atom
Formation energy from the elements ... 640.9 meV per atom
N(E_F) ... 13.8 states/eV per cell
Energy relative to the lowest polymorph listed for this composition ... 0.455 eV per atom

=====

A relaxed structure of Cr2TcIrN. Source: Alexandria via LeMat-Bulk, functional PBE.

Cell and atoms, written as POSCAR:
```
Cr2TcIrN
1.0
3.867 0.000 0.000
0.000 3.867 0.000
0.000 0.000 3.977
Cr Ir Tc N
2 1 1 1
Direct
0.000 0.500 0.000
0.500 0.000 0.000
0.500 0.500 0.500
0.000 0.000 0.500
0.000 0.000 0.000
```

Calculated volume ... 11.9 Å³ per atom
Energy relative to the elements, uncorrected ... -0.18 eV/atom
N(E_F) ... 5.4 states/eV per cell

=====

A relaxed structure of CsCaSeI2. Source: Alexandria via LeMat-Bulk, functional PBE.

Cell and atoms, written as POSCAR:
```
CsCaSeI2
1.0
-1.195 -6.150 -0.004
4.485 -0.874 4.286
-3.838 0.744 4.168
Cs I Ca Se
1 2 1 1
Direct
0.500 0.500 0.500
0.000 0.500 0.000
0.500 0.000 0.000
0.000 0.000 0.000
0.000 0.000 0.500
```

Calculated volume ... 44.9 Å³ per atom
Energy relative to the elements, uncorrected ... -1.25 eV/atom
N(E_F) ... 4.1 states/eV per cell

=====

A relaxed structure of ScTaN2. Source: Alexandria via LeMat-Bulk, functional PBE.

Cell and atoms, written as POSCAR:
```
ScTaN2
1.0
0.202 -3.054 -0.672
2.596 -1.141 -1.332
2.939 -2.294 4.016
Sc Ta N
1 1 2
Direct
0.000 0.000 0.000
0.500 0.500 0.500
0.248 0.248 0.256
0.752 0.752 0.744
```

Calculated volume ... 11.0 Å³ per atom
Energy relative to the elements, uncorrected ... -1.53 eV/atom
N(E_F) ... 1.5 states/eV per cell
Energy relative to the lowest polymorph listed for this composition ... 0.123 eV per atom

=====

A relaxed structure of NbVMo3. Source: Alexandria via LeMat-Bulk, functional PBE.

Cell and atoms, written as POSCAR:
```
NbVMo3
1.0
4.498 0.000 0.000
0.000 4.498 0.000
0.000 0.000 4.498
Mo Nb V
3 1 1
Direct
0.000 0.500 0.000
0.000 0.000 0.500
0.500 0.000 0.000
0.500 0.500 0.500
0.000 0.000 0.000
```

Calculated volume ... 18.2 Å³ per atom
Formation energy from the elements ... 1124.5 meV per atom
N(E_F) ... 6.8 states/eV per cell
Energy relative to the lowest polymorph listed for this composition ... 1.234 eV per atom

=====

A relaxed structure of TcBRu2. Source: Alexandria via LeMat-Bulk, functional PBE.

Cell and atoms, written as POSCAR:
```
TcBRu2
1.0
-2.173 -1.735 -0.604
0.486 -2.748 -0.556
-1.261 -3.007 6.471
Tc B Ru
1 1 2
Direct
0.502 0.502 0.493
0.666 0.666 0.002
0.064 0.064 0.808
0.268 0.268 0.197
```

Calculated volume ... 12.4 Å³ per atom
Formation energy from the elements ... -25.2 meV per atom
N(E_F) ... 3.3 states/eV per cell
Energy relative to the lowest polymorph listed for this composition ... 0.014 eV per atom

=====

A relaxed structure of RbTaSCl2. Source: Alexandria via LeMat-Bulk, functional PBE.

Cell and atoms, written as POSCAR:
```
RbTaSCl2
1.0
-4.484 2.233 0.474
-1.810 -4.115 2.258
1.330 1.762 4.278
S Cl Rb Ta
1 2 1 1
Direct
0.000 0.000 0.500
0.000 0.500 0.000
0.500 0.000 0.000
0.500 0.500 0.500
0.000 0.000 0.000
```

Calculated volume ... 24.4 Å³ per atom
Energy relative to the elements, uncorrected ... -1.05 eV/atom
N(E_F) ... 2.3 states/eV per cell
Energy relative to the lowest polymorph listed for this composition ... 0.000 eV per atom

=====

A relaxed structure of BeZnH3. Source: Alexandria via LeMat-Bulk, functional PBE.

Cell and atoms, written as POSCAR:
```
BeZnH3
1.0
-0.328 -3.193 -1.390
2.636 -1.140 1.996
-2.275 -0.860 2.514
Be Zn H
1 1 3
Direct
0.500 0.500 0.500
0.000 0.000 0.000
0.000 0.500 0.000
0.000 0.000 0.500
0.500 0.000 0.000
```

Calculated volume ... 8.6 Å³ per atom
N(E_F) ... 1.1 states/eV per cell
Energy relative to the lowest polymorph listed for this composition ... 0.383 eV per atom

=====

A relaxed structure of MgInCoAg. Source: Alexandria via LeMat-Bulk, functional PBE.

Cell and atoms, written as POSCAR:
```
MgInCoAg
1.0
-3.023 2.160 -2.651
-1.980 -2.208 -3.470
-4.425 -1.098 0.222
Mg Co Ag In
1 1 1 1
Direct
0.500 0.500 0.500
0.750 0.750 0.750
0.250 0.250 0.250
0.000 0.000 0.000
```

Calculated volume ... 16.8 Å³ per atom
Formation energy from the elements ... 46.7 meV per atom
N(E_F) ... 2.9 states/eV per cell

=====

A relaxed structure of LiY2Se. Source: Alexandria via LeMat-Bulk, functional PBE.

Cell and atoms, written as POSCAR:
```
LiY2Se
1.0
8.018 0.000 0.000
0.000 8.018 0.000
4.009 4.009 3.390
Y Se Li
4 2 2
Direct
0.655 0.125 0.250
0.095 0.625 0.250
0.375 0.345 0.750
0.875 0.905 0.750
0.000 0.000 0.000
0.750 0.250 0.500
0.500 0.500 0.000
0.250 0.750 0.500
```

Calculated volume ... 27.2 Å³ per atom
Energy relative to the elements, uncorrected ... -0.44 eV/atom
N(E_F) ... 9.3 states/eV per cell

=====

A relaxed structure of SrTlRe2. Source: Alexandria via LeMat-Bulk, functional PBE.

Cell and atoms, written as POSCAR:
```
SrTlRe2
1.0
1.351 -4.661 -0.782
-2.598 -3.676 1.974
-2.732 -2.901 -2.878
Re Tl Sr
2 1 1
Direct
0.250 0.250 0.250
0.750 0.750 0.750
0.500 0.500 0.500
0.000 0.000 0.000
```

Calculated volume ... 21.0 Å³ per atom
Formation energy from the elements ... 1636.5 meV per atom
N(E_F) ... 5.1 states/eV per cell
Energy relative to the lowest polymorph listed for this composition ... 1.250 eV per atom

=====

A relaxed structure of La2SmHoEr5. Source: Alexandria via LeMat-Bulk, functional PBE.

Cell and atoms, written as POSCAR:
```
La2SmHoEr5
1.0
8.634 0.000 0.000
0.000 8.634 0.000
-4.317 -4.317 7.864
La Sm Ho Er
4 2 2 10
Direct
0.117 0.383 0.000
0.617 0.117 0.000
0.383 0.883 0.000
0.883 0.617 0.000
0.250 0.250 0.500
0.750 0.750 0.500
0.250 0.750 0.500
0.750 0.250 0.500
0.926 0.426 0.283
0.642 0.142 0.717
0.074 0.574 0.717
0.142 0.074 0.717
0.574 0.642 0.717
0.858 0.926 0.283
0.426 0.358 0.283
0.358 0.858 0.283
0.500 0.500 0.000
0.000 0.000 0.000
```

Calculated volume ... 32.6 Å³ per atom
Formation energy from the elements ... 259.8 meV per atom
N(E_F) ... 24.2 states/eV per cell

=====

A relaxed structure of HfTc2N. Source: Alexandria via LeMat-Bulk, functional PBE.

Cell and atoms, written as POSCAR:
```
HfTc2N
1.0
-1.166 2.927 -6.257
-6.359 2.023 2.132
-2.864 4.486 -1.290
Hf Tc N
2 4 2
Direct
0.000 0.000 0.000
0.750 0.250 0.500
0.506 0.125 0.250
0.244 0.625 0.250
0.375 0.494 0.750
0.875 0.756 0.750
0.500 0.500 0.000
0.250 0.750 0.500
```

Calculated volume ... 14.3 Å³ per atom
Energy relative to the elements, uncorrected ... -0.21 eV/atom
N(E_F) ... 9.1 states/eV per cell

=====

no.,calculated density (g/cm³)
1,5.7
2,3.9
3,4.1
4,7.3
5,6.5
6,7.0
7,6.8
8,4.3
9,8.2
10,8.5
11,9.4
12,8.1
13,6.0
14,11.4
15,3.7
16,9.6
17,7.9
18,10.4
19,5.0
20,3.0
21,7.6
22,4.0
23,13.1
24,8.1
25,11.3